Record 1
Compound: TbThHg2
Source: Alexandria
Functional: PBE
Structure: relaxed

## Properties
Energy of formation from the pure elements = -1.37 eV per formula unit
Energy = -3.507 eV per atom
Symmetry = No. 123
M_tot = 0.109 μB per cell

Unit cell a=3.5279 b=3.5279 c=8.5655 alpha=90.00 beta=90.00 gamma=90.00
Site moments in Bohr magnetons follow the coordinates.
Atoms (fractional coordinates):
Th1 0.5000 0.5000 0.5000  0.00
Hg1 0.0000 0.0000 0.7639  0.00
Hg2 0.0000 0.0000 0.2361  0.00
Tb1 0.5000 0.5000 0.0000  0.08

---

Record 2
Compound: TbTh3Hg6
Source: Alexandria
Functional: PBE
Structure: relaxed

## Properties
Energy of formation from the pure elements = -2.52 eV per formula unit
Energy = -3.122 eV per atom
Symmetry = No. 11
M_tot = 0.000 μB per cell

Unit cell a=4.9943 b=9.8359 c=10.9284 alpha=99.66 beta=90.00 gamma=90.00
Atoms (fractional coordinates):
Hg1 0.7500 0.8544 0.8043
Hg2 0.7500 0.9509 0.1042
Hg3 0.2500 0.4478 0.0893
Hg4 0.2500 0.6631 0.7078
Hg5 0.7500 0.3369 0.2922
Hg6 0.2500 0.8565 0.3218
Hg7 0.7500 0.1435 0.6782
Hg8 0.7500 0.7691 0.5047
Hg9 0.2500 0.2309 0.4953
Hg10 0.7500 0.5522 0.9107
Hg11 0.2500 0.1456 0.1957
Hg12 0.2500 0.0491 0.8958
Th1 0.2500 0.5337 0.3967
Th2 0.7500 0.6477 0.2138
Th3 0.7500 0.2364 0.9925
Th4 0.7500 0.4663 0.6033
Th5 0.2500 0.7636 0.0075
Th6 0.2500 0.3523 0.7862
Tb1 0.7500 0.0552 0.3843
Tb2 0.2500 0.9448 0.6157

---

Record 3
Compound: Tb2ThHg6
Source: Alexandria
Functional: PBE
Structure: relaxed

## Properties
Energy of formation from the pure elements = -3.15 eV per formula unit
Energy = -2.405 eV per atom
Symmetry = No. 191
M_tot = 0.001 μB per cell

Unit cell a=3.4179 b=8.6833 c=8.6833 alpha=120.00 beta=90.00 gamma=90.00
Atoms (fractional coordinates):
Th1 0.0000 0.0000 0.0000
Tb1 0.0000 0.6667 0.3333
Tb2 0.0000 0.3333 0.6667
Hg1 0.5000 0.0000 0.6637
Hg2 0.5000 0.6637 0.0000
Hg3 0.5000 0.3363 0.3363
Hg4 0.5000 0.0000 0.3363
Hg5 0.5000 0.3363 0.0000
Hg6 0.5000 0.6637 0.6637

---

- Which formula does entry 1 have?
  TbThHg2